No. 1
{"formula": "PrBr3N", "functional": "PBE-GGA", "state": "relaxed", "lattice": [[5.816, 0.000, 0.000], [2.755, 7.854, 0.000], [0.000, 0.006, 8.771]], "species": ["Pr", "Pr", "Br", "Br", "Br", "Br", "Br", "Br", "N", "N"], "fractional_positions": [[0.014, 0.470, 0.250], [0.986, 0.530, 0.750], [0.117, 0.254, 0.524], [0.118, 0.254, 0.976], [0.470, 0.563, 0.750], [0.530, 0.437, 0.250], [0.882, 0.746, 0.024], [0.883, 0.746, 0.476], [0.306, 0.911, 0.251], [0.694, 0.089, 0.749]], "dos_ef_per_ev_fu": 0.0}

---

No. 2
{"formula": "Pr4Br2N", "functional": "PBE-GGA", "state": "relaxed", "lattice": [[4.877, 0.000, 0.000], [0.000, 4.877, 0.000], [0.000, 0.000, 18.755]], "species": ["Pr", "Pr", "Pr", "Pr", "Pr", "Pr", "Pr", "Pr", "Br", "Br", "Br", "Br", "N", "N"], "fractional_positions": [[0.000, 0.000, 0.140], [0.000, 0.000, 0.860], [0.000, 0.500, 0.000], [0.000, 0.500, 0.500], [0.500, 0.000, 0.000], [0.500, 0.000, 0.500], [0.500, 0.500, 0.360], [0.500, 0.500, 0.640], [0.000, 0.000, 0.305], [0.000, 0.000, 0.695], [0.500, 0.500, 0.195], [0.500, 0.500, 0.805], [0.000, 0.000, 0.000], [0.500, 0.500, 0.500]], "dos_ef_per_ev_fu": 9.0}

---

No. 3
{"formula": "Pr3Br3N2", "functional": "PBE-GGA", "state": "relaxed", "lattice": [[2.020, -7.443, 0.000], [2.020, 7.443, 0.000], [0.000, 0.000, 13.790]], "species": ["Pr", "Pr", "Pr", "Pr", "Pr", "Pr", "Br", "Br", "Br", "Br", "Br", "Br", "N", "N", "N", "N"], "fractional_positions": [[0.158, 0.842, 0.532], [0.158, 0.842, 0.968], [0.215, 0.785, 0.250], [0.785, 0.215, 0.750], [0.842, 0.158, 0.032], [0.842, 0.158, 0.468], [0.132, 0.868, 0.750], [0.432, 0.568, 0.622], [0.432, 0.568, 0.878], [0.568, 0.432, 0.122], [0.568, 0.432, 0.378], [0.868, 0.132, 0.250], [0.269, 0.731, 0.087], [0.269, 0.731, 0.413], [0.731, 0.269, 0.587], [0.731, 0.269, 0.913]]}

---

no.,raw total energy (eV per atom),density (g cm⁻³),ΔE_f (raw) (meV per atom)
1,-4.06,3.3,-438.8
2,-5.02,5.5,-620.4
3,-6.09,5.5,-1589.5